Computed, not measured: a relaxed K2OsRh crystal at the PBEsol level of DFT.

Computed properties:
- Magnetization: 0.7742 μB per atom
- Energy of formation: 205.12 kJ per mole of atoms
- ΔE to the lowest computed polymorph: 857 meV/atom
- Crystal system: cubic

Lattice parameters (Å, degrees): 5.0732 5.0732 5.0732 60.00 60.00 60.00
Closest atoms and distances in Å follow each position.
Atoms (fractional coordinates):
1 K 0.2500 0.2500 0.2500  4 Os 3.11, 4 Rh 3.11
2 K 0.7500 0.7500 0.7500  4 Rh 3.11, 4 Os 3.11
3 Os 0.0000 0.0000 0.0000  8 K 3.11
4 Rh 0.5000 0.5000 0.5000  8 K 3.11